Entry 1:
In2SeCl, relaxed, DFT GGA-PBE; calculated density = 5.41 g/cm3; space-group type = C2/m; formation energy without anion corrections = -424 meV per atom; total energy = -12.5 eV/f.u.; DOS(E_F) = 1.3 states/eV/f.u.
1.0
-0.581 7.359 2.303
0.241 -4.388 2.993
3.178 0.832 1.933
Cl In Se
1 2 1
direct
0.500 0.500 0.000 Cl
0.000 0.000 0.000 In
0.500 0.000 0.500 In
0.000 0.500 0.500 Se

Entry 2:
Ir3Ru, relaxed, DFT GGA-PBE; calculated density = 15.20 g/cm3; space-group type = C2/m; formation enthalpy at 0 K = 0.762 eV per atom; total energy = -32.8 eV/f.u.; DOS(E_F) = 5.7 states/eV/f.u.
1.0
2.576 0.000 0.655
1.258 3.981 0.444
-0.436 -0.077 7.105
Ir Ru
3 1
direct
0.000 0.500 0.500 Ir
0.641 0.531 0.188 Ir
0.359 0.469 0.812 Ir
0.000 0.000 0.000 Ru

Entry 3:
BaZnCd2, relaxed, DFT GGA-PBE; calculated density = 6.39 g/cm3; space-group type = I-4m2; formation enthalpy at 0 K = -0.151 eV per atom; total energy = -5.6 eV/f.u.; DOS(E_F) = 3.5 states/eV/f.u.
1.0
5.413 0.002 0.000
0.092 5.412 0.000
-2.752 -2.707 3.795
Ba Cd Zn
1 2 1
direct
0.750 0.250 0.500 Ba
0.000 0.000 0.000 Cd
0.250 0.750 0.500 Cd
0.500 0.500 0.000 Zn

Entry 4:
AcThSbPd, relaxed, DFT GGA-PBE; calculated density = 9.88 g/cm3; space-group type = F-43m; formation energy without anion corrections = -578 meV per atom; total energy = -23.2 eV/f.u.; DOS(E_F) = 4.3 states/eV/f.u.
1.0
-0.161 4.431 3.198
1.017 -0.454 5.352
4.625 2.036 2.085
Sb Ac Pd Th
1 1 1 1
direct
0.750 0.750 0.750 Sb
0.000 0.000 0.000 Ac
0.250 0.250 0.250 Pd
0.500 0.500 0.500 Th

Entry 5:
SrPuCl5, relaxed, DFT GGA-PBE; calculated density = 3.41 g/cm3; space-group type = C2/c; formation energy without anion corrections = -2103 meV per atom; total energy = -40.0 eV/f.u.; DOS(E_F) = 9.8 states/eV/f.u.
1.0
-3.846 -5.699 -2.938
3.915 -6.293 0.981
-4.233 -5.686 7.518
Sr Pu Cl
2 2 10
direct
0.544 0.456 0.250 Sr
0.456 0.544 0.750 Sr
0.000 0.000 0.000 Pu
0.000 0.000 0.500 Pu
0.801 0.719 0.129 Cl
0.288 0.670 0.469 Cl
0.719 0.801 0.629 Cl
0.893 0.107 0.250 Cl
0.330 0.712 0.031 Cl
0.670 0.288 0.969 Cl
0.107 0.893 0.750 Cl
0.281 0.199 0.371 Cl
0.712 0.330 0.531 Cl
0.199 0.281 0.871 Cl

Entry 6:
SiP2PbCl, relaxed, DFT GGA-PBE; calculated density = 3.52 g/cm3; space-group type = P4/mmm; formation energy without anion corrections = 1171 meV per atom; total energy = -15.9 eV/f.u.; DOS(E_F) = 4.4 states/eV/f.u.
1.0
-1.955 3.674 -3.452
-2.190 -3.953 -2.968
-4.510 0.323 2.897
Pb P Si Cl
1 2 1 1
direct
0.000 0.000 0.000 Pb
0.000 0.500 0.000 P
0.500 0.000 0.000 P
0.500 0.500 0.500 Si
0.000 0.000 0.500 Cl

Entry 7:
CuTcI2N, relaxed, DFT GGA-PBE; calculated density = 6.22 g/cm3; space-group type = P4/mmm; formation energy without anion corrections = 1055 meV per atom; total energy = -20.6 eV/f.u.; DOS(E_F) = 3.5 states/eV/f.u.
1.0
-0.892 -2.735 -4.742
-2.405 -2.248 1.749
-4.143 3.478 -1.227
I Tc Cu N
2 1 1 1
direct
0.000 0.000 0.500 I
0.500 0.000 0.000 I
0.000 0.500 0.000 Tc
0.500 0.500 0.500 Cu
0.000 0.000 0.000 N

Entry 8:
LiPrCoH6, relaxed, DFT GGA-PBE; calculated density = 4.74 g/cm3; space-group type = P-6m2; total energy = -37.2 eV/f.u.; DOS(E_F) = 2.1 states/eV/f.u.
1.0
-1.754 3.863 1.437
-3.487 -0.032 2.812
2.693 -0.020 3.339
Li Pr Co H
1 1 1 6
direct
0.667 0.667 0.500 Li
0.000 0.000 0.000 Pr
0.333 0.333 0.500 Co
0.036 0.482 0.252 H
0.482 0.036 0.748 H
0.482 0.482 0.748 H
0.035 0.482 0.748 H
0.482 0.482 0.252 H
0.482 0.036 0.252 H

Entry 9:
GaI2, relaxed, DFT GGA-PBE; calculated density = 3.87 g/cm3; space-group type = R3c; formation energy without anion corrections = -459 meV per atom; total energy = -7.5 eV/f.u.; DOS(E_F) = 0.0 states/eV/f.u.
1.0
-1.470 6.199 -4.439
-14.887 -3.530 4.529
9.563 6.779 10.826
Ga I
12 24
direct
0.938 0.687 0.807 Ga
0.108 0.810 0.193 Ga
0.415 0.617 0.807 Ga
0.915 0.807 0.617 Ga
0.751 0.313 0.120 Ga
0.632 0.880 0.193 Ga
0.438 0.807 0.687 Ga
0.608 0.193 0.810 Ga
0.132 0.193 0.880 Ga
0.798 0.190 0.383 Ga
0.251 0.120 0.313 Ga
0.298 0.383 0.190 Ga
0.573 0.413 0.323 I
0.422 0.405 0.056 I
0.395 0.799 0.900 I
0.159 0.909 0.587 I
0.598 0.256 0.500 I
0.895 0.900 0.799 I
0.017 0.651 0.595 I
0.517 0.595 0.651 I
0.750 0.091 0.677 I
0.597 0.101 0.201 I
0.342 0.244 0.744 I
0.598 0.756 0.500 I
0.250 0.677 0.091 I
0.366 0.944 0.349 I
0.097 0.201 0.101 I
0.495 0.100 0.899 I
0.842 0.744 0.244 I
0.098 0.500 0.756 I
0.995 0.899 0.100 I
0.659 0.587 0.909 I
0.866 0.349 0.944 I
0.098 0.500 0.256 I
0.922 0.056 0.405 I
0.073 0.323 0.413 I

Entry 10:
CaTb3Y6Tm2, relaxed, DFT GGA-PBE; calculated density = 5.94 g/cm3; space-group type = C2/m; formation enthalpy at 0 K = 0.058 eV per atom; total energy = -62.9 eV/f.u.; DOS(E_F) = 20.2 states/eV/f.u.
1.0
6.200 0.001 0.002
-3.098 5.371 0.002
-1.037 -1.796 11.661
Ca Tb Y Tm
1 3 6 2
direct
0.000 0.000 0.000 Ca
0.166 0.834 0.500 Tb
0.834 0.166 0.500 Tb
0.500 0.500 0.500 Tb
0.916 0.576 0.748 Y
0.745 0.745 0.252 Y
0.084 0.424 0.252 Y
0.576 0.916 0.748 Y
0.255 0.255 0.748 Y
0.424 0.084 0.252 Y
0.333 0.667 0.000 Tm
0.667 0.333 0.000 Tm

Entry 11:
Ac8Si5Bi, relaxed, DFT GGA-PBE; calculated density = 7.64 g/cm3; space-group type = I-4; formation energy without anion corrections = -570 meV per atom; total energy = -71.8 eV/f.u.; DOS(E_F) = 7.3 states/eV/f.u.
1.0
-3.596 -6.668 -3.828
5.049 4.010 -5.522
4.617 -2.614 6.626
Ac Si Bi
8 5 1
direct
0.116 0.758 0.015 Ac
0.985 0.101 0.743 Ac
0.746 0.248 0.373 Ac
0.627 0.373 0.876 Ac
0.503 0.627 0.254 Ac
0.642 0.899 0.884 Ac
0.257 0.242 0.358 Ac
0.124 0.752 0.497 Ac
0.003 0.375 0.123 Si
0.877 0.880 0.252 Si
0.748 0.625 0.627 Si
0.500 0.000 0.500 Si
0.373 0.120 0.997 Si
0.250 0.500 0.750 Bi

Entry 12:
ReSbOs, relaxed, DFT GGA-PBE; calculated density = 16.01 g/cm3; space-group type = I4mm; formation energy without anion corrections = 455 meV per atom; total energy = -26.4 eV/f.u.; DOS(E_F) = 1.5 states/eV/f.u.
1.0
6.149 -0.011 0.000
4.701 3.964 0.000
-5.425 -1.976 2.115
Os Re Sb
1 1 1
direct
0.983 0.983 0.000 Os
0.349 0.349 0.000 Re
0.668 0.668 0.000 Sb

Entry 13:
AcSi2Bi, relaxed, DFT GGA-PBE; calculated density = 7.93 g/cm3; space-group type = P4/mmm; formation energy without anion corrections = -86 meV per atom; total energy = -19.2 eV/f.u.; DOS(E_F) = 2.4 states/eV/f.u.
1.0
-4.122 1.432 -0.632
-1.712 -4.258 1.516
-0.118 1.663 4.537
Ac Si Bi
1 2 1
direct
0.500 0.500 0.500 Ac
0.000 0.000 0.500 Si
0.000 0.500 0.000 Si
0.500 0.000 0.000 Bi

Entry 14:
Li2NdTl, relaxed, DFT GGA-PBE; calculated density = 6.28 g/cm3; space-group type = P4/mmm; formation enthalpy at 0 K = -0.080 eV per atom; total energy = -11.3 eV/f.u.; DOS(E_F) = 2.9 states/eV/f.u.
1.0
-0.333 -0.107 3.695
-0.141 -3.706 -0.120
6.923 -0.283 0.615
Tl Nd Li
1 1 2
direct
0.500 0.500 0.000 Tl
0.500 0.500 0.500 Nd
0.000 0.000 0.798 Li
0.000 0.000 0.202 Li

Entry 15:
Ce12MgGa6, relaxed, DFT GGA-PBE; calculated density = 6.97 g/cm3; space-group type = R-3m; formation enthalpy at 0 K = -0.094 eV per atom; total energy = -92.8 eV/f.u.; DOS(E_F) = 56.8 states/eV/f.u.
1.0
-0.288 -6.169 -5.543
0.260 -3.838 7.353
-7.566 3.397 -0.292
Ce Mg Ga
12 1 6
direct
0.896 0.104 0.500 Ce
0.892 0.622 0.622 Ce
0.622 0.622 0.892 Ce
0.378 0.108 0.378 Ce
0.378 0.378 0.108 Ce
0.108 0.378 0.378 Ce
0.104 0.500 0.896 Ce
0.500 0.896 0.104 Ce
0.104 0.896 0.500 Ce
0.896 0.500 0.104 Ce
0.500 0.104 0.896 Ce
0.622 0.892 0.622 Ce
0.000 0.000 0.000 Mg
0.699 0.296 0.296 Ga
0.296 0.296 0.699 Ga
0.296 0.699 0.296 Ga
0.704 0.704 0.301 Ga
0.301 0.704 0.704 Ga
0.704 0.301 0.704 Ga

Entry 16:
Be2NiTe, relaxed, DFT GGA-PBE; calculated density = 4.71 g/cm3; space-group type = I-42d; formation energy without anion corrections = 447 meV per atom; total energy = -14.6 eV/f.u.; DOS(E_F) = 0.0 states/eV/f.u.
1.0
5.132 0.000 0.000
0.000 5.132 0.000
2.566 2.566 5.470
Ni Te Be
2 2 4
direct
0.500 0.500 0.000 Ni
0.250 0.750 0.500 Ni
0.000 0.000 0.000 Te
0.750 0.250 0.500 Te
0.576 0.125 0.250 Be
0.174 0.625 0.250 Be
0.375 0.424 0.750 Be
0.875 0.826 0.750 Be

Entry 17:
LaSm6DyHo2, relaxed, DFT GGA-PBE; calculated density = 7.53 g/cm3; space-group type = C2/c; formation enthalpy at 0 K = 0.118 eV per atom; total energy = -45.8 eV/f.u.; DOS(E_F) = 14.6 states/eV/f.u.
1.0
9.196 -2.027 -2.104
0.900 8.626 -1.979
0.900 -2.297 8.547
La Sm Dy Ho
2 12 2 4
direct
0.250 0.969 0.031 La
0.750 0.031 0.969 La
0.056 0.117 0.754 Sm
0.444 0.246 0.883 Sm
0.944 0.883 0.246 Sm
0.556 0.754 0.117 Sm
0.318 0.988 0.441 Sm
0.182 0.559 0.012 Sm
0.682 0.012 0.559 Sm
0.818 0.441 0.988 Sm
0.118 0.706 0.486 Sm
0.382 0.514 0.294 Sm
0.882 0.294 0.514 Sm
0.618 0.486 0.706 Sm
0.250 0.410 0.590 Dy
0.750 0.590 0.410 Dy
0.450 0.798 0.698 Ho
0.050 0.302 0.202 Ho
0.550 0.202 0.302 Ho
0.950 0.698 0.798 Ho

Entry 18:
NiMoW2, relaxed, DFT GGA-PBE; calculated density = 14.58 g/cm3; space-group type = Cmmm; formation enthalpy at 0 K = 0.064 eV per atom; total energy = -42.3 eV/f.u.; DOS(E_F) = 3.5 states/eV/f.u.
1.0
-1.031 -0.796 -2.365
2.685 -0.058 -0.274
0.099 -8.080 2.678
Mo Ni W
1 1 2
direct
0.500 0.500 0.250 Mo
0.500 0.500 0.750 Ni
0.000 0.000 0.985 W
0.000 0.000 0.515 W

Entry 19:
MgAgCl4, relaxed, DFT GGA-PBE; calculated density = 2.94 g/cm3; space-group type = C2/m; formation energy without anion corrections = -1053 meV per atom; total energy = -18.2 eV/f.u.; DOS(E_F) = 5.2 states/eV/f.u.
1.0
-2.217 2.723 1.411
-2.775 -6.313 2.746
5.034 2.488 3.111
Mg Ag Cl
1 1 4
direct
0.500 0.000 0.500 Mg
0.000 0.000 0.000 Ag
0.387 0.773 0.072 Cl
0.108 0.216 0.447 Cl
0.613 0.227 0.928 Cl
0.892 0.784 0.553 Cl

Entry 20:
TeBrCl, relaxed, DFT GGA-PBE; calculated density = 3.51 g/cm3; space-group type = Cm; formation energy without anion corrections = -231 meV per atom; total energy = -7.4 eV/f.u.; DOS(E_F) = 0.0 states/eV/f.u.
1.0
4.680 0.000 0.000
0.000 3.891 0.000
-1.116 0.000 12.613
Te Br Cl
2 2 2
direct
0.761 0.000 0.986 Te
0.761 0.500 0.486 Te
0.006 0.000 0.622 Br
0.006 0.500 0.122 Br
0.536 0.000 0.362 Cl
0.536 0.500 0.862 Cl